(1)
MgGaPd14 | PBE-GGA | relaxed

Cell: 5.617 5.617 7.779 Å, 90.00 90.00 90.01°
Fractional coordinates of all 16 atoms:
Pd1 0.375 0.375 0.000
Pd2 0.127 0.127 0.745
Pd3 0.623 0.127 0.255
Pd4 0.127 0.623 0.255
Pd5 0.623 0.127 0.745
Pd6 0.875 0.875 0.000
Pd7 0.127 0.127 0.255
Pd8 0.875 0.375 0.500
Pd9 0.623 0.623 0.745
Pd10 0.127 0.623 0.745
Pd11 0.375 0.875 0.000
Pd12 0.375 0.875 0.500
Pd13 0.623 0.623 0.255
Pd14 0.875 0.375 0.000
Mg1 0.875 0.875 0.500
Ga1 0.375 0.375 0.500

For the formation energy, the calculation gives -0.233 eV per atom. Its symmetry is No. 123.

=====

(2)
Mn2Si3 | PBE-GGA | relaxed

Cell: 9.503 9.503 9.503 Å, 16.46 16.46 16.46°
Fractional coordinates of all 5 atoms:
Si1 0.796 0.796 0.796
Si2 0.204 0.204 0.204
Si3 0.000 0.000 0.000
Mn1 0.600 0.600 0.600
Mn2 0.400 0.400 0.400

Its formation energy (no corrections) is -0.10 eV/atom. Its symmetry is No. 166.

=====

(3)
SrMg2Si | PBE-GGA | relaxed

Cell: 4.664 4.664 10.818 Å, 77.55 77.55 90.00°
Fractional coordinates of all 8 atoms:
Mg1 0.375 0.449 0.750
Mg2 0.875 0.801 0.750
Mg3 0.199 0.625 0.250
Mg4 0.551 0.125 0.250
Si1 0.500 0.500 0.000
Si2 0.250 0.750 0.500
Sr1 0.000 0.000 0.000
Sr2 0.750 0.250 0.500

Its formation energy (no corrections) is 0.17 eV/atom. Its symmetry is No. 122.

=====

(4)
NaCa4Sn2 | PBE-GGA | relaxed

Cell: 5.429 5.429 9.317 Å, 73.06 73.06 60.00°
Fractional coordinates of all 7 atoms:
Ca1 0.870 0.870 0.391
Ca2 0.130 0.130 0.609
Ca3 0.617 0.617 0.148
Ca4 0.383 0.383 0.852
Na1 0.000 0.000 0.000
Sn1 0.746 0.746 0.761
Sn2 0.254 0.254 0.239

For the formation energy, the calculation gives -0.516 eV per atom. Its symmetry is No. 166.

=====

(5)
FeTc5 | PBE-GGA | relaxed

Cell: 2.707 2.707 11.472 Å, 90.00 90.00 90.00°
Fractional coordinates of all 6 atoms:
Fe1 0.500 0.500 0.000
Tc1 0.500 0.500 0.671
Tc2 0.000 0.000 0.845
Tc3 0.000 0.000 0.155
Tc4 0.000 0.000 0.500
Tc5 0.500 0.500 0.329

For the formation energy, the calculation gives 0.093 eV per atom. The calculation puts the energy above the most stable polymorph in this dataset at 53 meV per atom. Its symmetry is No. 123.

=====

(6)
Ce2SmErS4 | PBE-GGA | relaxed

Cell: 3.963 6.885 6.937 Å, 109.22 90.00 90.00°
Fractional coordinates of all 8 atoms:
S1 0.500 0.760 0.762
S2 0.500 0.240 0.238
S3 0.000 0.754 0.243
S4 0.000 0.246 0.757
Ce1 0.000 0.500 0.500
Ce2 0.500 0.000 0.500
Er1 0.000 0.000 0.000
Sm1 0.500 0.500 0.000

Its formation energy (no corrections) is -2.02 eV/atom. Its symmetry is No. 10.

=====

(7)
ZrFeN2 | PBE-GGA | relaxed

Cell: 6.153 6.153 6.153 Å, 31.60 31.60 31.60°
Fractional coordinates of all 4 atoms:
Fe1 0.000 0.000 0.000
N1 0.896 0.896 0.896
N2 0.104 0.104 0.104
Zr1 0.500 0.500 0.500

Its formation energy (no corrections) is -0.59 eV/atom. Its symmetry is No. 166.

=====

(8)
Ho2S2F | PBE-GGA | relaxed

Cell: 3.618 3.618 11.253 Å, 90.00 90.00 90.00°
Fractional coordinates of all 5 atoms:
S1 0.500 0.500 0.587
S2 0.500 0.500 0.413
Ho1 0.500 0.500 0.192
Ho2 0.500 0.500 0.808
F1 0.500 0.500 0.000

Its formation energy (no corrections) is -0.87 eV/atom. The calculation puts the energy above the most stable polymorph in this dataset at 1542 meV per atom. Its symmetry is No. 123.

=====

(9)
MoAsBr2 | PBE-GGA | relaxed

Cell: 3.426 7.607 7.605 Å, 37.27 90.00 90.00°
Fractional coordinates of all 4 atoms:
As1 0.500 0.750 0.750
Br1 0.000 0.112 0.113
Br2 0.000 0.388 0.387
Mo1 0.500 0.250 0.250

Its formation energy (no corrections) is -0.06 eV/atom. The calculation puts the energy above the most stable polymorph in this dataset at 113 meV per atom. Its symmetry is No. 65.

=====

(10)
Ca6Tl2Ag | PBE-GGA | relaxed

Cell: 5.593 5.589 10.446 Å, 90.02 90.00 120.02°
Fractional coordinates of all 9 atoms:
Ca1 0.667 0.333 0.581
Ca2 0.333 0.667 0.066
Ca3 0.333 0.667 0.419
Ca4 0.000 0.000 0.215
Ca5 0.667 0.333 0.934
Ca6 0.000 0.000 0.785
Tl1 0.334 0.667 0.754
Tl2 0.666 0.333 0.246
Ag1 0.000 0.000 0.500

For the formation energy, the calculation gives -0.282 eV per atom. The calculation puts the energy above the most stable polymorph in this dataset at 32 meV per atom. Its symmetry is No. 164.

=====

(11)
Tb7Te2Ru2 | PBE-GGA | relaxed

Cell: 3.965 9.476 9.476 Å, 59.46 77.92 77.92°
Fractional coordinates of all 11 atoms:
Tb1 0.632 0.473 0.263
Tb2 0.183 0.717 0.917
Tb3 0.151 0.112 0.586
Tb4 0.368 0.737 0.527
Tb5 0.817 0.083 0.283
Tb6 0.849 0.414 0.888
Tb7 0.500 0.022 0.978
Te1 0.000 0.758 0.242
Te2 0.500 0.356 0.644
Ru1 0.260 0.331 0.149
Ru2 0.740 0.851 0.669

Its formation energy (no corrections) is -0.70 eV/atom. Its symmetry is No. 44.

=====

(12)
InCuW2 | PBE-GGA | relaxed

Cell: 4.892 4.892 5.154 Å, 83.80 83.80 32.71°
Fractional coordinates of all 4 atoms:
In1 0.752 0.752 0.729
Cu1 0.504 0.504 0.507
W1 0.999 0.999 0.027
W2 0.245 0.245 0.237

For the formation energy, the calculation gives 0.502 eV per atom. Its symmetry is No. 8.

=====

no.,E_tot (eV/atom),theoretical density (Mg/m³)
1,-5.066,10.72
2,-7.026,5.37
3,-2.402,2.43
4,-2.992,3.12
5,-9.956,10.78
6,-6.730,6.75
7,-9.010,5.12
8,-4.724,4.66
9,-4.769,4.58
10,-2.459,4.45
11,-5.907,8.76
12,-7.683,13.69